Entry 1:
Crystalline Dy6Y2Zr at its relaxed geometry. Source: Alexandria via LeMat-Bulk, functional GGA-PBE.

Computed properties:
SG = No. 187
Calculated formation energy = 0.077 eV/atom
Fermi-level density of states = 16.815 states/eV/cell
DFT total energy = -5.3777 eV/atom

Lattice parameters (Å, degrees): 3.5389 3.5389 25.8317 90.00 90.00 120.00
Atoms (fractional coordinates):
Dy  0.6667  0.3333  0.8998
Dy  0.3333  0.6667  0.2128
Dy  0.3333  0.6667  0.4335
Dy  0.3333  0.6667  0.7872
Dy  0.3333  0.6667  0.5665
Dy  0.6667  0.3333  0.1002
Y  0.6667  0.3333  0.3244
Y  0.6667  0.3333  0.6756
Zr  0.3333  0.6667  0.0000

***

Entry 2:
Crystalline DyYZr2 at its relaxed geometry. Source: Alexandria via LeMat-Bulk, functional GGA-PBE.

Computed properties:
SG = No. 160
Calculated formation energy = 0.119 eV/atom
Fermi-level density of states = 5.423 states/eV/cell
DFT total energy = -6.9217 eV/atom

Lattice parameters (Å, degrees): 3.3742 3.3742 11.0389 81.20 81.20 60.02
Atoms (fractional coordinates):
Dy  0.6670  0.6670  0.9994
Zr  0.0830  0.0830  0.7509
Zr  0.2499  0.2499  0.2497
Y  0.5001  0.5001  0.5000

***

Entry 3:
Crystalline DyYZr at its relaxed geometry. Source: Alexandria via LeMat-Bulk, functional GGA-PBE.

Computed properties:
SG = No. 187
Calculated formation energy = 0.126 eV/atom
Fermi-level density of states = 5.791 states/eV/cell
DFT total energy = -6.4123 eV/atom

Lattice parameters (Å, degrees): 3.4108 5.3605 5.3605 120.00 90.00 90.00
Atoms (fractional coordinates):
Dy  0.1672  0.0000  0.0000
Y  0.6666  0.6667  0.3333
Zr  0.1662  0.3333  0.6667

***

Entry 4:
Crystalline DyYZr at its relaxed geometry. Source: Alexandria via LeMat-Bulk, functional GGA-PBE.

Computed properties:
SG = No. 59
Calculated formation energy = 0.092 eV/atom
Fermi-level density of states = 9.382 states/eV/cell
DFT total energy = -6.4461 eV/atom

Lattice parameters (Å, degrees): 4.7411 3.4273 10.5119 90.00 90.00 90.00
Atoms (fractional coordinates):
Dy  0.8469  0.7448  0.6821
Dy  0.3469  0.2452  0.1415
Y  0.3469  0.2449  0.5037
Y  0.8469  0.7447  0.3198
Zr  0.3468  0.2447  0.8414
Zr  0.8468  0.7451  0.9821

***

Computed values of total moment (unit: Bohr magnetons per cell) for the preceding records, in sequence: 0.98, 0.00, 0.54, 0.00.